First-principles (PBE) data for a geometry-optimized In2Ga2Cu structure, as listed in Alexandria via LeMat-Bulk.

The relative energy among the computed polymorphs is 116 meV/atom. The final energy is -0.1077 hartree per atom. The value obtained for the energy relative to the elements is 0.19 eV per atom. As for the size of the total moment: 0.00 μB/cell.

a = 7.065 Å, b = 7.065 Å, c = 4.465 Å
α = 90.00°, β = 90.00°, γ = 90.00°
Space group P4/mbm (No. 127)
Asymmetric unit:
In1 0.160 0.340 0.000 [4 per cell]
Ga1 0.149 0.649 0.500 [4 per cell]
Cu1 0.000 0.000 0.000 [2 per cell]